No. 1
Hf3TeCl after structural relaxation. Source: Alexandria via LeMat-Bulk, functional PBE-GGA.

Lattice parameters (Å, degrees): 4.7821 4.7821 4.7821 90.00 90.00 90.00
Last column: nearest neighbours and their distance in Å.
Space group Pm-3m (No. 221)
Asymmetric unit:
Hf 0.0000 0.0000 0.5000  2 Cl 2.39
Te 0.5000 0.5000 0.5000  12 Hf 3.38
Cl 0.0000 0.0000 0.0000  6 Hf 2.39

Calculated values
Energy relative to the elements, uncorrected, eV/f.u.: 1.20

***

No. 2
PmPrAlRh after structural relaxation. Source: Alexandria via LeMat-Bulk, functional PBE-GGA.

Lattice parameters (Å, degrees): 7.2980 7.2980 7.2980 90.00 90.00 90.00
Last column: nearest neighbours and their distance in Å.
Space group F-43m (No. 216)
Asymmetric unit:
Pm 0.0000 0.0000 0.0000  4 Al 3.16, 4 Rh 3.16
Pr 0.0000 0.0000 0.5000  4 Rh 3.16, 4 Al 3.16
Al 0.2500 0.2500 0.2500  4 Pr 3.16, 4 Pm 3.16
Rh 0.2500 0.2500 0.7500  4 Pr 3.16, 4 Pm 3.16

Calculated values
Energy relative to the elements, meV/atom: -401

***

No. 3
PmPaSiAu after structural relaxation. Source: Alexandria via LeMat-Bulk, functional PBE-GGA.

Lattice parameters (Å, degrees): 7.2418 7.2418 7.2418 90.00 90.00 90.00
Last column: nearest neighbours and their distance in Å.
Space group F-43m (No. 216)
Asymmetric unit:
Pm 0.0000 0.0000 0.0000  4 Si 3.14, 4 Au 3.14
Pa 0.0000 0.0000 0.5000  4 Au 3.14, 4 Si 3.14
Si 0.2500 0.2500 0.7500  4 Pa 3.14, 4 Pm 3.14
Au 0.2500 0.2500 0.2500  4 Pa 3.14, 4 Pm 3.14

Calculated values
Energy relative to the elements, uncorrected, eV/f.u.: -1.22

***

No. 4
PrSm5YEr2 after structural relaxation. Source: Alexandria via LeMat-Bulk, functional PBE-GGA.

Lattice parameters (Å, degrees): 5.6499 20.3139 10.7006 90.00 90.00 90.00
Last column: nearest neighbours and their distance in Å.
Space group Cmc2_1 (No. 36)
Asymmetric unit:
Pr 0.0000 0.2023 0.0000  2 Er 3.47-3.74, 8 Sm 3.51-3.88, 2 Y 3.70
Sm 0.0000 0.0163 0.0129  2 Y 3.27, 3 Er 3.44-3.61, 2 Sm 3.66
Sm 0.0000 0.2804 0.2971  1 Y 3.09, 1 Er 3.36, 2 Sm 3.43
Sm 0.0000 0.2985 0.6953  3 Sm 3.43-3.68, 3 Pr 3.51-3.80, 1 Y 3.53, 3 Er 3.53-3.84
Sm 0.0000 0.3932 0.0151  5 Sm 3.47-3.79, 4 Er 3.60-3.62, 1 Pr 3.88
Sm 0.0000 0.4787 0.7301  2 Y 3.20-3.35, 2 Sm 3.47-3.51, 2 Er 3.51
Y 0.0000 0.4112 0.4444  5 Sm 3.09-3.35
Er 0.0000 0.1104 0.7263  7 Sm 3.44-3.84, 1 Pr 3.47, 2 Y 3.69
Er 0.0000 0.1153 0.3076  9 Sm 3.36-3.74, 1 Pr 3.74

Calculated values
Energy relative to the elements, meV/atom: 154

***

No. 5
Dy2BeGa after structural relaxation. Source: Alexandria via LeMat-Bulk, functional PBE-GGA.

Lattice parameters (Å, degrees): 6.9908 6.9908 6.9908 90.00 90.00 90.00
Last column: nearest neighbours and their distance in Å.
Space group Fm-3m (No. 225)
Asymmetric unit:
Dy 0.2500 0.2500 0.2500  4 Be 3.03, 4 Ga 3.03
Be 0.0000 0.0000 0.0000  8 Dy 3.03
Ga 0.0000 0.0000 0.5000  8 Dy 3.03

Calculated values
Energy relative to the elements, meV/atom: -240

***

No. 6
LaNi2W after structural relaxation. Source: Alexandria via LeMat-Bulk, functional PBE-GGA.

Lattice parameters (Å, degrees): 3.8923 3.8923 9.0029 90.00 90.00 90.00
Last column: nearest neighbours and their distance in Å.
Space group I-4m2 (No. 119)
Asymmetric unit:
La 0.0000 0.0000 0.0000  8 Ni 2.75-2.98, 4 W 2.98
Ni 0.0000 0.0000 0.5000  4 La 2.75, 4 W 2.98, 4 Ni 2.98
Ni 0.0000 0.5000 0.7500  4 W 2.75, 4 La 2.98, 4 Ni 2.98
W 0.0000 0.5000 0.2500  8 Ni 2.75-2.98, 4 La 2.98

Calculated values
Energy relative to the elements, meV/atom: 556

***

No. 7
HfGa4Au after structural relaxation. Source: Alexandria via LeMat-Bulk, functional PBE-GGA.

Lattice parameters (Å, degrees): 3.4687 3.4687 8.8718 90.00 90.00 90.00
Last column: nearest neighbours and their distance in Å.
Space group P4/mmm (No. 123)
Asymmetric unit:
Hf 0.0000 0.0000 0.0000  10 Ga 2.94-2.97
Ga 0.0000 0.0000 0.3350  5 Ga 2.80-2.93, 4 Au 2.86, 1 Hf 2.97
Ga 0.5000 0.5000 0.1827  4 Ga 2.80, 1 Au 2.81, 4 Hf 2.94
Au 0.5000 0.5000 0.5000  10 Ga 2.81-2.86

Calculated values
Energy relative to the elements, meV/atom: -204

***

Across the entries above, volume takes the values 21.872; 24.294; 23.736; 34.114; 21.353; 17.049; 17.791 Å³ per atom, respectively.